Computed, not measured: an optimized crystal structure of HoTm3In3Te8 at the GGA-PBE level of DFT.

Output
- formation energy from raw total energies (eV per atom) = -0.99
- DOS at the Fermi energy (states/eV/atom) = 0.348
- magnetization (μB/cell) = 0.00

Unit cell a=8.6971 b=8.6963 c=9.3478 alpha=117.74 beta=90.00 gamma=120.00
Fractional positions:
In1 0.0000 0.5000 0.0000
In2 0.5000 0.5000 0.0000
Tm1 0.5000 0.0000 0.5000
Te1 0.7573 0.0197 0.2773
Tm2 0.0000 0.5000 0.5000
Te2 0.7376 0.9803 0.7227
Te3 0.7410 0.4820 0.7229
Te4 0.2427 0.4854 0.7226
Ho1 0.0000 0.0000 0.5000
Te5 0.2624 0.0197 0.2773
Te6 0.2590 0.5180 0.2771
Tm3 0.5000 0.5000 0.5000
Te7 0.7573 0.5146 0.2774
In3 0.0000 0.0000 0.0000
Te8 0.2427 0.9803 0.7227